1.
An optimized crystal structure of YMo2Pt. Source: Alexandria, functional GGA-PBEsol.

a = 2.775 Å, b = 5.211 Å, c = 5.532 Å
α = 115.13°, β = 99.43°, γ = 100.64°
Fractional coordinates of all 4 atoms:
Mo  0.000  0.000  0.500
Mo  0.500  0.500  0.500
Y  0.500  0.000  0.000
Pt  0.000  0.500  0.000

Properties
* E above lowest polymorph: 0.1321 eV/atom
* total DFT energy (no corrections): -0.6757 Ry/atom
* symmetry: No. 12
* energy of formation from the pure elements: 13.2 kJ/mol of atoms

---

2.
An optimized crystal structure of MgTlRh. Source: Alexandria, functional GGA-PBEsol.

a = 3.077 Å, b = 4.516 Å, c = 4.516 Å
α = 120.00°, β = 90.00°, γ = 90.00°
Fractional coordinates of all 3 atoms:
Mg  0.983  0.000  0.000
Tl  0.386  0.667  0.333
Rh  0.632  0.333  0.667

Properties
* total DFT energy (no corrections): -0.3113 Ry/atom
* symmetry: No. 156
* energy of formation from the pure elements: -7.0 kJ/mol of atoms

---

3.
An optimized crystal structure of ReB2Pd. Source: Alexandria, functional GGA-PBEsol.

a = 4.801 Å, b = 4.801 Å, c = 5.718 Å
α = 114.82°, β = 114.82°, γ = 90.00°
Fractional coordinates of all 8 atoms:
Re  0.000  0.000  0.000
Re  0.250  0.750  0.500
B  0.372  0.875  0.250
B  0.878  0.375  0.250
B  0.125  0.122  0.750
B  0.625  0.628  0.750
Pd  0.750  0.250  0.500
Pd  0.500  0.500  0.000

Properties
* total DFT energy (no corrections): -0.5651 Ry/atom
* symmetry: No. 122
* energy of formation from the pure elements: 62.0 kJ/mol of atoms

---

4.
An optimized crystal structure of Be2NbBiPd. Source: Alexandria, functional GGA-PBEsol.

a = 4.421 Å, b = 4.421 Å, c = 5.305 Å
α = 90.00°, β = 90.00°, γ = 90.00°
Fractional coordinates of all 5 atoms:
Nb  0.000  0.000  0.500
Pd  0.500  0.500  0.500
Be  0.000  0.500  0.000
Be  0.500  0.000  0.000
Bi  0.000  0.000  0.000

Properties
* total DFT energy (no corrections): -0.3044 Ry/atom
* symmetry: No. 123
* energy of formation from the pure elements: 161.3 kJ/mol of atoms

---

5.
An optimized crystal structure of CdMo2P. Source: Alexandria, functional GGA-PBEsol.

a = 2.974 Å, b = 2.974 Å, c = 6.976 Å
α = 90.00°, β = 90.00°, γ = 90.00°
Fractional coordinates of all 4 atoms:
Mo  0.000  0.000  0.809
Mo  0.000  0.000  0.191
Cd  0.500  0.500  0.500
P  0.500  0.500  0.000

Properties
* total DFT energy (no corrections): -0.5646 Ry/atom
* symmetry: No. 123
* energy of formation from the pure elements: -4.9 kJ/mol of atoms

---

6.
An optimized crystal structure of AlAg3. Source: Alexandria, functional GGA-PBEsol.

a = 2.876 Å, b = 3.918 Å, c = 11.551 Å
α = 90.00°, β = 90.00°, γ = 90.00°
Fractional coordinates of all 8 atoms:
Ag  0.000  0.000  0.000
Ag  0.000  0.000  0.500
Ag  0.000  0.000  0.757
Ag  0.500  0.500  0.627
Ag  0.000  0.000  0.243
Ag  0.500  0.500  0.373
Al  0.500  0.500  0.872
Al  0.500  0.500  0.128

Properties
* total DFT energy (no corrections): -0.2613 Ry/atom
* symmetry: No. 47
* energy of formation from the pure elements: -4.8 kJ/mol of atoms

---

7.
An optimized crystal structure of TaBRhPb2. Source: Alexandria, functional GGA-PBEsol.

a = 3.824 Å, b = 5.253 Å, c = 5.253 Å
α = 90.00°, β = 90.00°, γ = 90.00°
Each line ends with the local moment (μB).
Fractional coordinates of all 5 atoms:
Ta  0.500  0.500  0.500  0.09
Pb  0.000  0.000  0.500  0.00
Pb  0.000  0.500  0.000  0.00
B  0.500  0.000  0.000  0.00
Rh  0.000  0.000  0.000  0.01

Properties
* total DFT energy (no corrections): -0.4422 Ry/atom
* symmetry: No. 123
* energy of formation from the pure elements: 108.5 kJ/mol of atoms

---

8.
An optimized crystal structure of GaAsRh4. Source: Alexandria, functional GGA-PBEsol.

a = 4.009 Å, b = 5.404 Å, c = 7.568 Å
α = 90.00°, β = 90.00°, γ = 90.00°
Fractional coordinates of all 12 atoms:
Rh  0.000  0.974  0.048
Rh  0.500  0.658  0.172
Rh  0.000  0.474  0.952
Rh  0.500  0.040  0.462
Rh  0.000  0.335  0.311
Rh  0.000  0.835  0.689
Rh  0.500  0.158  0.828
Rh  0.500  0.540  0.538
Ga  0.000  0.289  0.639
Ga  0.000  0.789  0.361
As  0.500  0.703  0.846
As  0.500  0.203  0.154

Properties
* total DFT energy (no corrections): -0.5341 Ry/atom
* symmetry: No. 26
* energy of formation from the pure elements: -41.8 kJ/mol of atoms

---

9.
An optimized crystal structure of CaNiSb. Source: Alexandria, functional GGA-PBEsol.

a = 4.223 Å, b = 4.252 Å, c = 4.252 Å
α = 120.00°, β = 90.00°, γ = 90.00°
Fractional coordinates of all 3 atoms:
Ca  0.500  0.000  0.000
Ni  0.000  0.333  0.667
Sb  0.000  0.667  0.333

Properties
* total DFT energy (no corrections): -0.3618 Ry/atom
* symmetry: No. 187

---

10.
An optimized crystal structure of Li2CaRe. Source: Alexandria, functional GGA-PBEsol.

a = 2.675 Å, b = 2.675 Å, c = 10.082 Å
α = 90.00°, β = 90.00°, γ = 90.00°
Fractional coordinates of all 4 atoms:
Li  0.000  0.000  0.209
Li  0.000  0.000  0.791
Ca  0.500  0.500  0.500
Re  0.500  0.500  0.000

Properties
* E above lowest polymorph: 0.0368 eV/atom
* total DFT energy (no corrections): -0.3103 Ry/atom
* symmetry: No. 123
* energy of formation from the pure elements: 60.6 kJ/mol of atoms

---

11.
An optimized crystal structure of Be3Au. Source: Alexandria, functional GGA-PBEsol.

a = 4.374 Å, b = 4.374 Å, c = 4.374 Å
α = 90.00°, β = 90.00°, γ = 90.00°
Fractional coordinates of all 8 atoms:
Au  0.500  0.500  0.500
Au  0.000  0.000  0.000
Be  0.500  0.000  0.250
Be  0.000  0.750  0.500
Be  0.500  0.000  0.750
Be  0.250  0.500  0.000
Be  0.000  0.250  0.500
Be  0.750  0.500  0.000

Properties
* total DFT energy (no corrections): -0.2988 Ry/atom
* symmetry: No. 223
* energy of formation from the pure elements: -8.1 kJ/mol of atoms

---

12.
An optimized crystal structure of Zn5Os. Source: Alexandria, functional GGA-PBEsol.

a = 2.637 Å, b = 4.449 Å, c = 7.147 Å
α = 90.00°, β = 100.63°, γ = 90.00°
Fractional coordinates of all 6 atoms:
Zn  0.665  0.000  0.330
Zn  0.334  0.000  0.669
Zn  0.555  0.500  0.111
Zn  0.890  0.500  0.780
Zn  0.224  0.500  0.448
Os  0.998  0.000  0.996

Properties
* E above lowest polymorph: 0.0045 eV/atom
* total DFT energy (no corrections): -0.2413 Ry/atom
* symmetry: No. 38
* energy of formation from the pure elements: 6.9 kJ/mol of atoms